VASP calculation (PBE) on a relaxed structure of LiZr2Pb2.

Values from the calculation:
The value obtained for the density of states at the Fermi level is 0.55 states/eV/atom. The calculation puts the formation energy at -0.01 eV per atom. The value obtained for the total energy is -5.295 eV per atom.

Cell lengths 8.824, 8.824, 3.289 Å; angles 90.00, 90.00, 90.00 degrees
Each line ends with the local moment (μB).
Atoms (fractional coordinates):
Pb 0.175 0.675 0.500  0.00
Pb 0.675 0.825 0.500  0.00
Pb 0.825 0.325 0.500  0.00
Pb 0.325 0.175 0.500  0.00
Zr 0.378 0.878 0.000  0.27
Zr 0.878 0.622 0.000  0.27
Zr 0.622 0.122 0.000  0.27
Zr 0.122 0.378 0.000  0.27
Li 0.000 0.000 0.000  0.01
Li 0.500 0.500 0.000  0.01

=====

VASP calculation (PBE) on a relaxed structure of LiZr4Pb.

Values from the calculation:
The value obtained for the density of states at the Fermi level is 1.15 states/eV/atom. The calculation puts the formation energy at 0.31 eV per atom. The value obtained for the total energy is -6.325 eV per atom.

Cell lengths 5.855, 5.855, 5.855 Å; angles 60.00, 60.00, 60.00 degrees
Atoms (fractional coordinates):
Li 0.750 0.750 0.750
Zr 0.875 0.375 0.375
Zr 0.375 0.375 0.875
Zr 0.375 0.875 0.375
Zr 0.375 0.375 0.375
Pb 0.000 0.000 0.000